1.
Crystalline Hf3IrN at its relaxed geometry, computed with GGA-PBE.

Results
- Formation energy from raw total energies: -0.59 eV per atom
- SG: R-3c
- Raw total energy: -10.00 eV/atom

a b c (Å): 7.363 7.363 7.363
angles (deg): 49.66 49.66 49.66
Fractional positions:
1 Hf 0.074 0.750 0.426
2 Hf 0.250 0.574 0.926
3 Hf 0.426 0.074 0.750
4 Hf 0.574 0.926 0.250
5 Hf 0.750 0.426 0.074
6 Hf 0.926 0.250 0.574
7 Ir 0.000 0.000 0.000
8 Ir 0.500 0.500 0.500
9 N 0.250 0.250 0.250
10 N 0.750 0.750 0.750

***

2.
Crystalline Hf3IrN at its relaxed geometry, computed with GGA-PBE.

Results
- Formation energy from raw total energies: -1.01 eV per atom
- SG: C2/c
- Raw total energy: -10.42 eV/atom

a b c (Å): 7.667 7.667 6.342
angles (deg): 101.37 101.37 76.73
Fractional positions:
1 Hf 0.025 0.682 0.437
2 Hf 0.043 0.685 0.918
3 Hf 0.315 0.957 0.582
4 Hf 0.318 0.975 0.063
5 Hf 0.359 0.363 0.434
6 Hf 0.363 0.359 0.934
7 Hf 0.637 0.641 0.066
8 Hf 0.641 0.637 0.566
9 Hf 0.682 0.025 0.937
10 Hf 0.685 0.043 0.418
11 Hf 0.957 0.315 0.082
12 Hf 0.975 0.318 0.563
13 Ir 0.002 0.998 0.750
14 Ir 0.331 0.669 0.250
15 Ir 0.669 0.331 0.750
16 Ir 0.998 0.002 0.250
17 N 0.173 0.494 0.673
18 N 0.494 0.173 0.173
19 N 0.506 0.827 0.827
20 N 0.827 0.506 0.327